Run a
Material: SrTaAu
Method: DFT, PBE
State: relaxed

Values from the calculation:
**DOS at the Fermi energy**: 0.825 states/eV/atom
**V**: 23.800 Å³ per atom

The structure in POSCAR format:
```
SrTaAu
1.0
-2.202 -0.266 2.454
3.164 -0.813 0.522
1.475 7.087 2.092
Au Sr Ta
1 1 1
direct
0.000 0.000 0.971
0.667 0.333 0.329
0.333 0.667 0.700
```

---

Run b
Material: SrTaAu
Method: DFT, PBE
State: relaxed

Values from the calculation:
**DOS at the Fermi energy**: 0.588 states/eV/atom
**V**: 23.299 Å³ per atom

The structure in POSCAR format:
```
SrTaAu
1.0
4.209 0.000 0.000
0.000 4.209 0.000
0.000 0.000 7.891
Sr Au Ta
2 2 2
direct
0.000 0.000 0.500
0.500 0.500 0.500
0.000 0.500 0.807
0.500 0.000 0.193
0.000 0.500 0.128
0.500 0.000 0.872
```

---

Run c
Material: SrTaAu
Method: DFT, PBE
State: relaxed

Values from the calculation:
**DOS at the Fermi energy**: 0.844 states/eV/atom
**V**: 28.179 Å³ per atom

The structure in POSCAR format:
```
SrTaAu
1.0
-0.763 -2.805 3.403
1.150 -1.612 -4.014
4.704 0.240 1.252
Au Sr Ta
1 1 1
direct
0.000 0.000 0.833
0.667 0.333 0.333
0.333 0.667 0.833
```

---

Run d
Material: SrTaAu
Method: DFT, PBE
State: relaxed

Values from the calculation:
**DOS at the Fermi energy**: 0.393 states/eV/atom
**V**: 25.071 Å³ per atom

The structure in POSCAR format:
```
SrTaAu
1.0
-4.152 -0.225 1.877
0.017 -3.542 -0.385
3.834 -0.893 8.374
Sr Au Ta
2 2 2
direct
0.937 0.045 0.079
0.437 0.545 0.380
0.437 0.545 0.969
0.937 0.045 0.490
0.437 0.045 0.743
0.937 0.545 0.716
```

---

Energy above the most stable structure, in meV/atom: run a 573; run b 742; run c 358; run d 0

---

Run a
Material: SrTaAu
Method: DFT, PBE
State: relaxed

Values from the calculation:
**DOS at the Fermi energy**: 0.355 states/eV/atom
**V**: 23.577 Å³ per atom

The structure in POSCAR format:
```
SrTaAu
1.0
-1.107 2.713 -7.652
-3.106 -0.333 0.331
-0.706 10.305 3.756
Sr Au Ta
4 4 4
direct
0.839 0.250 0.396
0.661 0.750 0.896
0.161 0.750 0.604
0.339 0.250 0.104
0.836 0.250 0.690
0.664 0.750 0.190
0.164 0.750 0.310
0.336 0.250 0.810
0.441 0.250 0.404
0.059 0.750 0.904
0.559 0.750 0.596
0.941 0.250 0.096
```

---

Run b
Material: SrTaAu
Method: DFT, PBE
State: relaxed

Values from the calculation:
**DOS at the Fermi energy**: 0.957 states/eV/atom
**V**: 24.204 Å³ per atom

The structure in POSCAR format:
```
SrTaAu
1.0
5.265 -0.003 -0.001
0.003 6.554 -0.002
-2.630 3.278 4.208
Sr Au Ta
2 2 2
direct
0.550 0.979 0.861
0.794 0.235 0.348
0.179 0.607 0.105
0.179 0.107 0.105
0.715 0.595 0.630
0.190 0.619 0.579
```

---

Energy above the most stable structure, in meV/atom: run a 127; run b 0

---

Run a
Material: Sr2TaAu
Method: DFT, PBE
State: relaxed

Values from the calculation:
**DOS at the Fermi energy**: 0.923 states/eV/atom
**V**: 28.655 Å³ per atom

The structure in POSCAR format:
```
Sr2TaAu
1.0
-3.145 1.435 -0.112
-2.219 -5.002 -1.787
-0.904 -1.553 5.469
Au Sr Ta
1 2 1
direct
0.500 0.000 0.500
0.000 0.000 0.000
0.000 0.500 0.500
0.500 0.500 0.000
```

---

Run b
Material: Sr2TaAu
Method: DFT, PBE
State: relaxed

Values from the calculation:
**DOS at the Fermi energy**: 0.830 states/eV/atom
**V**: 27.483 Å³ per atom

The structure in POSCAR format:
```
Sr2TaAu
1.0
-1.067 2.373 2.195
-3.014 0.105 -1.579
-3.256 -6.794 5.764
Au Sr Ta
1 2 1
direct
0.500 0.500 0.750
0.000 0.000 0.985
0.000 0.000 0.515
0.500 0.500 0.250
```

---

Run c
Material: Sr2TaAu
Method: DFT, PBE
State: relaxed

Values from the calculation:
**DOS at the Fermi energy**: 1.456 states/eV/atom
**V**: 30.387 Å³ per atom

The structure in POSCAR format:
```
Sr2TaAu
1.0
8.808 0.000 0.000
0.000 8.808 0.000
4.404 4.404 3.134
Sr Au Ta
4 2 2
direct
0.664 0.125 0.250
0.086 0.625 0.250
0.375 0.336 0.750
0.875 0.914 0.750
0.000 0.000 0.000
0.750 0.250 0.500
0.500 0.500 0.000
0.250 0.750 0.500
```

---

Energy above the most stable structure, in meV/atom: run a 173; run b 0; run c 411

---

Run a
Material: SrTa3Au
Method: DFT, PBE
State: relaxed

Values from the calculation:
**DOS at the Fermi energy**: 0.651 states/eV/atom
**V**: 22.567 Å³ per atom

The structure in POSCAR format:
```
SrTa3Au
1.0
-2.710 -2.086 -3.414
3.790 -2.659 -1.384
-1.281 -3.454 3.128
Sr Au Ta
1 1 3
direct
0.000 0.000 0.000
0.500 0.500 0.500
0.000 0.500 0.000
0.000 0.000 0.500
0.500 0.000 0.000
```

---

Run b
Material: SrTa3Au
Method: DFT, PBE
State: relaxed

Values from the calculation:
**DOS at the Fermi energy**: 1.374 states/eV/atom
**V**: 26.566 Å³ per atom

The structure in POSCAR format:
```
SrTa3Au
1.0
-1.730 -2.721 3.954
1.636 -4.286 -2.234
4.513 0.510 2.326
Sr Au Ta
1 1 3
direct
0.500 0.500 0.500
0.000 0.000 0.000
0.000 0.500 0.000
0.000 0.000 0.500
0.500 0.000 0.000
```

---

Energy above the most stable structure, in meV/atom: run a 1343; run b 0

---

Run a
Material: SrTaAu3
Method: DFT, PBE
State: relaxed

Values from the calculation:
**DOS at the Fermi energy**: 1.207 states/eV/atom
**V**: 31.412 Å³ per atom

The structure in POSCAR format:
```
SrTaAu3
1.0
5.395 0.000 0.000
0.000 5.395 0.000
0.000 0.000 5.395
Sr Au Ta
1 3 1
direct
0.000 0.000 0.000
0.000 0.500 0.000
0.000 0.000 0.500
0.500 0.000 0.000
0.500 0.500 0.500
```

---

Run b
Material: SrTaAu3
Method: DFT, PBE
State: relaxed

Values from the calculation:
**DOS at the Fermi energy**: 0.643 states/eV/atom
**V**: 27.862 Å³ per atom

The structure in POSCAR format:
```
SrTaAu3
1.0
-0.762 -4.389 -2.651
-0.386 -2.623 4.455
-5.113 0.853 0.059
Sr Au Ta
1 3 1
direct
0.500 0.500 0.500
0.000 0.500 0.000
0.000 0.000 0.500
0.500 0.000 0.000
0.000 0.000 0.000
```

---

Energy above the most stable structure, in meV/atom: run a 1438; run b 0

---

Run a
Material: SrTaV2Au
Method: DFT, PBE
State: relaxed

Values from the calculation:
**DOS at the Fermi energy**: 1.152 states/eV/atom
**V**: 19.603 Å³ per atom

The structure in POSCAR format:
```
SrTaV2Au
1.0
-3.456 2.822 -0.277
-1.138 -1.826 -4.408
-2.639 -3.041 1.941
Sr V Au Ta
1 2 1 1
direct
0.000 0.000 0.000
0.000 0.000 0.500
0.500 0.000 0.000
0.500 0.500 0.500
0.000 0.500 0.000
```

---

Run b
Material: SrTaV2Au
Method: DFT, PBE
State: relaxed

Values from the calculation:
**DOS at the Fermi energy**: 1.586 states/eV/atom
**V**: 22.031 Å³ per atom

The structure in POSCAR format:
```
SrTaV2Au
1.0
4.637 0.000 0.000
0.000 4.637 0.000
0.000 0.000 5.123
Sr V Au Ta
1 2 1 1
direct
0.000 0.000 0.000
0.000 0.500 0.000
0.500 0.000 0.000
0.000 0.000 0.500
0.500 0.500 0.500
```

---

Energy above the most stable structure, in meV/atom: run a 151; run b 0

---

Run a
Material: SrTb2Au
Method: DFT, PBE
State: relaxed

Values from the calculation:
**DOS at the Fermi energy**: 1.275 states/eV/atom
**V**: 35.373 Å³ per atom

The structure in POSCAR format:
```
SrTb2Au
1.0
3.978 0.000 0.000
1.989 3.445 0.000
1.989 1.148 10.324
Tb Au Sr
2 1 1
direct
0.274 0.274 0.177
0.726 0.726 0.823
0.000 0.000 0.000
0.500 0.500 0.500
```

---

Run b
Material: SrTb2Au
Method: DFT, PBE
State: relaxed

Values from the calculation:
**DOS at the Fermi energy**: 0.987 states/eV/atom
**V**: 34.613 Å³ per atom

The structure in POSCAR format:
```
SrTb2Au
1.0
4.848 0.000 0.000
2.424 4.199 0.000
2.424 1.400 6.802
Sr Tb Au
1 2 1
direct
0.498 0.498 0.507
0.050 0.050 0.850
0.284 0.284 0.149
0.669 0.669 0.994
```

---

Energy above the most stable structure, in meV/atom: run a 0; run b 21

---

Run a
Material: SrTc2Au
Method: DFT, PBE
State: relaxed

Values from the calculation:
**DOS at the Fermi energy**: 1.123 states/eV/atom
**V**: 19.262 Å³ per atom

The structure in POSCAR format:
```
SrTc2Au
1.0
-3.239 -0.362 -0.491
0.802 -3.736 -2.540
-0.308 -2.904 4.174
Au Sr Tc
1 1 2
direct
0.500 0.000 0.500
0.000 0.500 0.500
0.000 0.000 0.000
0.500 0.500 0.000
```

---

Run b
Material: SrTc2Au
Method: DFT, PBE
State: relaxed

Values from the calculation:
**DOS at the Fermi energy**: 1.363 states/eV/atom
**V**: 23.729 Å³ per atom

The structure in POSCAR format:
```
SrTc2Au
1.0
-1.294 2.901 2.847
-1.605 -1.257 3.747
4.557 0.654 4.601
Au Sr Tc
1 1 2
direct
0.534 0.534 0.399
0.747 0.747 0.758
0.944 0.944 0.169
0.275 0.275 0.174
```

---

Run c
Material: SrTc2Au
Method: DFT, PBE
State: relaxed

Values from the calculation:
**DOS at the Fermi energy**: 1.373 states/eV/atom
**V**: 19.821 Å³ per atom

The structure in POSCAR format:
```
SrTc2Au
1.0
5.713 -0.011 0.000
2.928 4.906 0.000
-4.320 -2.448 2.826
Au Sr Tc
1 1 2
direct
0.250 0.750 0.500
0.750 0.250 0.500
0.000 0.000 0.000
0.500 0.500 0.000
```

---

Run d
Material: SrTc2Au
Method: DFT, PBE
State: relaxed

Values from the calculation:
**DOS at the Fermi energy**: 0.956 states/eV/atom
**V**: 22.279 Å³ per atom

The structure in POSCAR format:
```
SrTc2Au
1.0
5.786 0.057 -0.007
2.542 5.198 0.007
-3.834 -3.151 2.976
Au Sr Tc
1 1 2
direct
0.486 0.486 0.000
0.220 0.720 0.500
0.965 0.965 0.000
0.829 0.329 0.500
```

---

Energy above the most stable structure, in meV/atom: run a 526; run b 0; run c 648; run d 321